DFT (PBE-GGA) results for a relaxed AlTe2PbN crystal.

Calculated values
Relative energy among the computed polymorphs ... 0.0 meV/atom
Fermi-level density of states ... 4.05 states/eV/f.u.
Energy relative to the elements, uncorrected ... 0.076 eV per atom

a b c (Å): 5.9568 5.9568 3.5097
angles (deg): 90.00 90.00 90.00
Closest atoms and distances in Å follow each position.
Positions (direct):
Al1 0.0000 0.0000 0.0000  2 N 1.75
Te1 0.0000 0.5000 0.0000  2 Al 2.98
Te2 0.5000 0.0000 0.0000  2 Al 2.98
Pb1 0.5000 0.5000 0.5000  8 Te 3.46, 2 Pb 3.51
N1 0.0000 0.0000 0.5000  2 Al 1.75